Here is an optimized crystal structure of SiGePd6 from Alexandria via LeMat-Bulk. Energies are from GGA-PBE.

The structure belongs to space group I4/mmm (No. 139); the cell edges are 4.202, 4.202 and 13.547 Å and the angles 90.00°, 90.00° and 90.00°. The distinct sites, in fractional coordinates, are Si at (0.000, 0.000, 0.000), Ge at (0.000, 0.000, 0.500), Pd at (0.000, 0.000, 0.250) and Pd at (0.000, 0.500, 0.109).

The uncorrected formation energy comes out at -313 meV/atom. Its total energy is -5.463 eV per atom.